First-principles (PBE) data for YInOs after structural relaxation, as listed in the Alexandria database.

Cell lengths 4.6453, 4.6453, 3.5098 Å; angles 90.00, 90.00, 120.00 degrees
With the nearest neighbours (Å) after each atom.
Space group P-6m2 (No. 187)
Asymmetric unit:
Y 0.0000 0.0000 0.0000  6 Os 3.21, 6 In 3.21, 2 Y 3.51
In 0.6667 0.3333 0.5000  3 Os 2.68
Os 0.3333 0.6667 0.5000  3 In 2.68

Computed properties:
Size of the total moment in μB per formula unit: 0.00
Energy relative to the elements in eV/atom: 0.027
Calculated total energy in eV for the cell shown: -20.4
N(E_F) in states/eV/cell: 2.1